<one>
Here is a relaxed structure of Ti2Tl2Hg from Alexandria. Energies are from GGA-PBE.

Geometry as POSCAR:
```
Ti2Tl2Hg
1.0
7.4438 0.0000 0.0000
0.0000 7.4438 0.0000
0.0000 0.0000 3.9864
Ti Tl Hg
4 4 2
Direct
0.1215 0.3785 0.0000
0.3785 0.8785 0.0000
0.6215 0.1215 0.0000
0.8785 0.6215 0.0000
0.1779 0.6779 0.5000
0.3221 0.1779 0.5000
0.6779 0.8221 0.5000
0.8221 0.3221 0.5000
0.0000 0.0000 0.0000
0.5000 0.5000 0.0000
```

- Space-group type: No. 127
- Volume: 220.89 Å³ per cell

---

<two>
Here is a relaxed structure of Ti2Tl2Hg from Alexandria. Energies are from GGA-PBE.

Geometry as POSCAR:
```
Ti2Tl2Hg
1.0
8.0767 0.0000 0.0000
0.0000 8.0767 0.0000
0.0000 0.0000 3.3257
Ti Tl Hg
4 4 2
Direct
0.1691 0.3309 0.0000
0.3309 0.8309 0.0000
0.6691 0.1691 0.0000
0.8309 0.6691 0.0000
0.1330 0.6330 0.5000
0.3670 0.1330 0.5000
0.6330 0.8670 0.5000
0.8670 0.3670 0.5000
0.0000 0.0000 0.5000
0.5000 0.5000 0.5000
```

- Space-group type: No. 127
- Volume: 216.95 Å³ per cell

---

We find <one> to be the most stable, with the next structure 15.9 kJ/mol of atoms higher.

---

<one>
Here is a relaxed structure of TmTiHg from Alexandria. Energies are from GGA-PBE.

Geometry as POSCAR:
```
TmTiHg
1.0
4.2300 0.0000 0.0000
0.0000 4.2300 0.0000
0.0000 0.0000 7.7531
Tm Ti Hg
2 2 2
Direct
0.2500 0.2500 0.1528
0.7500 0.7500 0.8472
0.2500 0.7500 0.5000
0.7500 0.2500 0.5000
0.2500 0.2500 0.7557
0.7500 0.7500 0.2443
```

- Space-group type: No. 129
- Volume: 138.73 Å³ per cell

---

<two>
Here is a relaxed structure of TmTiHg from Alexandria. Energies are from GGA-PBE.

Geometry as POSCAR:
```
TmTiHg
1.0
-1.6551 1.6551 6.0743
1.6551 -1.6551 6.0743
1.6551 1.6551 -6.0743
Tm Ti Hg
1 1 1
Direct
0.0000 0.0000 0.0000
0.6691 0.6691 0.0000
0.3145 0.3145 0.0000
```

- Space-group type: No. 107
- Volume: 66.56 Å³ per cell

---

We find <one> to be the most stable, with the next structure 3.1 kJ/mol of atoms higher.

---

<one>
Here is a relaxed structure of TiVHg from Alexandria. Energies are from GGA-PBE.

Geometry as POSCAR:
```
TiVHg
1.0
-1.6198 1.6198 4.9493
1.6198 -1.6198 4.9493
1.6198 1.6198 -4.9493
Ti V Hg
1 1 1
Direct
0.0000 0.0000 0.0000
0.3604 0.3604 0.0000
0.6837 0.6837 0.0000
```

- Space-group type: No. 107
- Volume: 51.94 Å³ per cell

---

<two>
Here is a relaxed structure of TiVHg from Alexandria. Energies are from GGA-PBE.

Geometry as POSCAR:
```
TiVHg
1.0
-1.5252 1.5252 11.7061
1.5252 -1.5252 11.7061
1.5252 1.5252 -11.7061
Ti V Hg
2 2 2
Direct
0.1524 0.1524 0.0000
0.8476 0.8476 0.0000
0.2796 0.2796 0.0000
0.7204 0.7204 0.0000
0.4378 0.4378 0.0000
0.5622 0.5622 0.0000
```

- Space-group type: No. 139
- Volume: 108.92 Å³ per cell

---

We find <two> to be the most stable, with the next structure 11.6 kJ/mol of atoms higher.

---

<one>
Here is a relaxed structure of Ti3VHg from Alexandria. Energies are from GGA-PBE.

Geometry as POSCAR:
```
Ti3VHg
1.0
4.5801 0.0000 0.0000
0.0000 4.5801 0.0000
0.0000 0.0000 4.5801
Ti V Hg
3 1 1
Direct
0.0000 0.0000 0.5000
0.0000 0.5000 0.0000
0.5000 0.0000 0.0000
0.0000 0.0000 0.0000
0.5000 0.5000 0.5000
```

- Space-group type: No. 221
- Volume: 96.08 Å³ per cell

---

<two>
Here is a relaxed structure of Ti3VHg from Alexandria. Energies are from GGA-PBE.

Geometry as POSCAR:
```
Ti3VHg
1.0
4.9669 0.0000 0.0000
0.0000 4.9669 0.0000
0.0000 0.0000 4.9669
Ti V Hg
3 1 1
Direct
0.0000 0.0000 0.5000
0.0000 0.5000 0.0000
0.5000 0.0000 0.0000
0.5000 0.5000 0.5000
0.0000 0.0000 0.0000
```

- Space-group type: No. 221
- Volume: 122.53 Å³ per cell

---

We find <one> to be the most stable, with the next structure 76.4 kJ/mol of atoms higher.

---

<one>
Here is a relaxed structure of Ti2Hg2W from Alexandria. Energies are from GGA-PBE.

Geometry as POSCAR:
```
Ti2Hg2W
1.0
-1.8671 1.8671 7.4249
1.8671 -1.8671 7.4249
1.8671 1.8671 -7.4249
Ti Hg W
2 2 1
Direct
0.0844 0.0844 0.0000
0.9156 0.9156 0.0000
0.2500 0.7500 0.5000
0.7500 0.2500 0.5000
0.5000 0.5000 0.0000
```

- Space-group type: No. 139
- Volume: 103.53 Å³ per cell

---

<two>
Here is a relaxed structure of Ti2Hg2W from Alexandria. Energies are from GGA-PBE.

Geometry as POSCAR:
```
Ti2Hg2W
1.0
6.7960 0.0000 0.0000
0.0000 6.7960 0.0000
0.0000 0.0000 4.1414
Ti Hg W
4 4 2
Direct
0.1483 0.3517 0.0000
0.3517 0.8517 0.0000
0.6483 0.1483 0.0000
0.8517 0.6483 0.0000
0.1563 0.6563 0.5000
0.3437 0.1563 0.5000
0.6563 0.8437 0.5000
0.8437 0.3437 0.5000
0.0000 0.0000 0.0000
0.5000 0.5000 0.0000
```

- Space-group type: No. 127
- Volume: 191.27 Å³ per cell

---

We find <two> to be the most stable, with the next structure 20.8 kJ/mol of atoms higher.

---

<one>
Here is a relaxed structure of TiHgW3 from Alexandria. Energies are from GGA-PBE.

Geometry as POSCAR:
```
TiHgW3
1.0
4.8876 0.0000 0.0000
0.0000 4.8876 0.0000
0.0000 0.0000 4.8876
Ti Hg W
1 1 3
Direct
0.0000 0.0000 0.0000
0.5000 0.5000 0.5000
0.0000 0.5000 0.5000
0.5000 0.0000 0.5000
0.5000 0.5000 0.0000
```

- Space-group type: No. 221
- Volume: 116.76 Å³ per cell

---

<two>
Here is a relaxed structure of TiHgW3 from Alexandria. Energies are from GGA-PBE.

Geometry as POSCAR:
```
TiHgW3
1.0
4.6151 0.0000 0.0000
0.0000 4.6151 0.0000
0.0000 0.0000 4.6151
Ti Hg W
1 1 3
Direct
0.0000 0.0000 0.0000
0.5000 0.5000 0.5000
0.0000 0.0000 0.5000
0.0000 0.5000 0.0000
0.5000 0.0000 0.0000
```

- Space-group type: No. 221
- Volume: 98.30 Å³ per cell

---

We find <two> to be the most stable, with the next structure 103.4 kJ/mol of atoms higher.

---

<one>
Here is a relaxed structure of Y3TiHg from Alexandria. Energies are from GGA-PBE.

Geometry as POSCAR:
```
Y3TiHg
1.0
5.3462 0.0000 0.0000
0.0000 5.3462 0.0000
0.0000 0.0000 5.3462
Y Ti Hg
3 1 1
Direct
0.0000 0.0000 0.5000
0.0000 0.5000 0.0000
0.5000 0.0000 0.0000
0.0000 0.0000 0.0000
0.5000 0.5000 0.5000
```

- Space-group type: No. 221
- Volume: 152.80 Å³ per cell

---

<two>
Here is a relaxed structure of Y3TiHg from Alexandria. Energies are from GGA-PBE.

Geometry as POSCAR:
```
Y3TiHg
1.0
5.6091 0.0000 0.0000
0.0000 5.6091 0.0000
0.0000 0.0000 5.6091
Y Ti Hg
3 1 1
Direct
0.0000 0.0000 0.5000
0.0000 0.5000 0.0000
0.5000 0.0000 0.0000
0.5000 0.5000 0.5000
0.0000 0.0000 0.0000
```

- Space-group type: No. 221
- Volume: 176.47 Å³ per cell

---

We find <one> to be the most stable, with the next structure 15.5 kJ/mol of atoms higher.